1.
This record from Alexandria via LeMat-Bulk describes an optimized crystal structure of Na2IrPdF8. The functional is PBE.

Values from the calculation:
Calculated volume: 14.83 A^3/atom
Formation energy from raw total energies: -1.869 eV/atom

a b c (Å): 4.9672 5.0862 7.0745
angles (deg): 87.31 87.39 86.39
Space group P-1 (No. 2)
Asymmetric unit:
Na: 0.0194 0.0171 0.2440 x2
Ir: 0.5000 0.5000 0.5000 x1
Pd: 0.5000 0.5000 0.0000 x1
F: 0.2159 0.7907 0.9991 x2
F: 0.2213 0.7891 0.5008 x2
F: 0.2899 0.3043 0.6901 x2
F: 0.3460 0.3576 0.2688 x2



2.
This record from Alexandria via LeMat-Bulk describes an optimized crystal structure of NaIrPdF6. The functional is PBE.

Values from the calculation:
Calculated volume: 13.96 A^3/atom
Formation energy from raw total energies: -1.595 eV/atom

a b c (Å): 5.6073 5.6073 9.2251
angles (deg): 90.00 90.00 120.00
Space group P-31c (No. 163)
Asymmetric unit:
Na: 0.3333 0.6667 0.2500 x2
Ir: 0.3333 0.6667 0.7500 x2
Pd: 0.0000 0.0000 0.0000 x2
F: 0.0354 0.3675 0.6295 x12



3.
This record from Alexandria via LeMat-Bulk describes an optimized crystal structure of RbNaIrF6. The functional is PBE.

Values from the calculation:
Calculated volume: 19.18 A^3/atom
Formation energy from raw total energies: -2.165 eV/atom

a b c (Å): 5.8123 5.8123 5.9017
angles (deg): 90.00 90.00 120.00
Space group P312 (No. 149)
Asymmetric unit:
Rb: 0.0000 0.0000 0.0000 x1
Na: 0.3333 0.6667 0.5000 x1
Ir: 0.6667 0.3333 0.5000 x1
F: 0.3915 0.0477 0.6885 x6



4.
This record from Alexandria via LeMat-Bulk describes an optimized crystal structure of RbNaIrF2. The functional is PBE.

Values from the calculation:
Calculated volume: 27.88 A^3/atom
Formation energy from raw total energies: -0.103 eV/atom

a b c (Å): 5.1491 5.1491 5.2573
angles (deg): 90.00 90.00 90.00
Space group P4/mmm (No. 123)
Asymmetric unit:
Rb: 0.0000 0.0000 0.0000 x1
Na: 0.5000 0.5000 0.5000 x1
Ir: 0.0000 0.0000 0.5000 x1
F: 0.0000 0.5000 0.0000 x2



5.
This record from Alexandria via LeMat-Bulk describes an optimized crystal structure of RbNa2IrF8. The functional is PBE.

Values from the calculation:
Calculated volume: 16.71 A^3/atom
Formation energy from raw total energies: -2.102 eV/atom

a b c (Å): 4.9894 5.1412 7.8209
angles (deg): 90.24 90.14 91.08
Space group P-1 (No. 2)
Asymmetric unit:
Rb: 0.0000 0.0000 0.0000 x1
Na: 0.4992 0.4988 0.7550 x2
Ir: 0.0000 0.0000 0.5000 x1
F: 0.1501 0.7800 0.3232 x2
F: 0.1531 0.7821 0.6759 x2
F: 0.3100 0.2339 0.4998 x2
F: 0.4842 0.2624 0.9998 x2



6.
This record from Alexandria via LeMat-Bulk describes an optimized crystal structure of NaScIr2F. The functional is PBE.

Values from the calculation:
Calculated volume: 17.73 A^3/atom
Formation energy from raw total energies: 0.583 eV/atom

a b c (Å): 4.8555 4.8555 3.7612
angles (deg): 90.00 90.00 90.00
Space group P4/mmm (No. 123)
Asymmetric unit:
Na: 0.0000 0.0000 0.0000 x1
Sc: 0.5000 0.5000 0.5000 x1
Ir: 0.0000 0.5000 0.0000 x2
F: 0.0000 0.0000 0.5000 x1